[1]
The following is a PBE calculation of a relaxed CsAlTc crystal, from the Open Quantum Materials Database.

Symmetry: F-43m

a = 4.7427 Å, b = 4.7427 Å, c = 4.7427 Å
α = 60.00°, β = 60.00°, γ = 60.00°
Closest atoms and distances in Å follow each position.
Positions (direct):
Cs: 0.0000 0.0000 0.0000  4 Tc 2.90
Al: 0.5000 0.5000 0.5000  4 Tc 2.90
Tc: 0.7500 0.7500 0.7500  4 Cs 2.90, 4 Al 2.90

=====

[2]
The following is a PBE calculation of a relaxed NdInAu crystal, from the Open Quantum Materials Database.

Symmetry: P-62m

a = 8.3412 Å, b = 8.3412 Å, c = 3.6861 Å
α = 90.00°, β = 90.00°, γ = 120.00°
Closest atoms and distances in Å follow each position.
Positions (direct):
Nd: 0.0000 0.2925 0.0000  4 In 2.97-3.06
Nd: 0.2925 0.0000 0.0000  4 In 2.97-3.06
Nd: 0.7075 0.7075 0.0000  4 In 2.97-3.06
In: 0.0000 0.0000 0.5000  6 Nd 3.06, 3 Au 3.07
In: 0.3333 0.6667 0.0000  3 Nd 2.97, 6 Au 3.23
In: 0.6667 0.3333 0.0000  3 Nd 2.97, 6 Au 3.23
Au: 0.0000 0.6323 0.5000  5 In 3.07-3.23, 6 Nd 3.36-3.38
Au: 0.3677 0.3677 0.5000  5 In 3.07-3.23, 6 Nd 3.36-3.38
Au: 0.6323 0.0000 0.5000  5 In 3.07-3.23, 6 Nd 3.36-3.38

=====

| no. | uncorrected energy (eV per atom) |
| --- | --- |
| 1 | -3.50 |
| 2 | -3.90 |